Entry 1:
{"formula": "BaErSn", "functional": "GGA-PBE", "state": "relaxed", "m_tot_mub_per_atom": 0.001, "final_energy_ev_per_atom": -3.475, "spacegroup": "F-43m", "lattice_angstrom": [[7.578, 0.000, 0.000], [0.000, 7.578, 0.000], [0.000, 0.000, 7.578]], "species": ["Ba", "Ba", "Ba", "Ba", "Er", "Er", "Er", "Er", "Sn", "Sn", "Sn", "Sn"], "frac_coords": [[0.000, 0.000, 0.000], [0.000, 0.500, 0.500], [0.500, 0.000, 0.500], [0.500, 0.500, 0.000], [0.250, 0.250, 0.250], [0.250, 0.750, 0.750], [0.750, 0.250, 0.750], [0.750, 0.750, 0.250], [0.000, 0.000, 0.500], [0.000, 0.500, 0.000], [0.500, 0.000, 0.000], [0.500, 0.500, 0.500]]}

Entry 2:
{"formula": "CdBW", "functional": "GGA-PBE", "state": "relaxed", "m_tot_mub_per_atom": 0.761, "final_energy_ev_per_atom": -4.474, "spacegroup": "F-43m", "e_above_lowest_polymorph_mev_per_atom": 573, "lattice_angstrom": [[5.978, 0.000, 0.000], [0.000, 5.978, 0.000], [0.000, 0.000, 5.978]], "species": ["Cd", "Cd", "Cd", "Cd", "B", "B", "B", "B", "W", "W", "W", "W"], "frac_coords": [[0.000, 0.000, 0.000], [0.000, 0.500, 0.500], [0.500, 0.000, 0.500], [0.500, 0.500, 0.000], [0.250, 0.250, 0.750], [0.250, 0.750, 0.250], [0.750, 0.250, 0.250], [0.750, 0.750, 0.750], [0.250, 0.250, 0.250], [0.250, 0.750, 0.750], [0.750, 0.250, 0.750], [0.750, 0.750, 0.250]]}